[1]
This record from the Alexandria database describes a relaxed structure of Er2Si2Tc2B. The functional is GGA-PBE.

CIF file:
```
data_Er2Si2Tc2B
_cell_length_a 10.8707
_cell_length_b 4.0232
_cell_length_c 6.8873
_cell_angle_alpha 90.00
_cell_angle_beta 126.61
_cell_angle_gamma 90.00
_space_group_name_H-M_alt 'C 1 2/m 1'
_space_group_IT_number 12
loop_
_space_group_symop_operation_xyz
'x,y,z'
'-x,-y,-z'
'-x,y,-z'
'x,-y,z'
'x+1/2,y+1/2,z'
'-x+1/2,-y+1/2,-z'
'-x+1/2,y+1/2,-z'
'x+1/2,-y+1/2,z'
loop_
_atom_site_label
_atom_site_fract_x
_atom_site_fract_y
_atom_site_fract_z
Er1 0.0748 0.0000 0.3051
Si1 0.1384 0.5000 0.6804
Tc1 0.2144 0.5000 0.0970
B1 0.0000 0.5000 0.0000
```

Computed properties:
- Energy relative to the elements, uncorrected: -0.67 eV per atom
- Total magnetic moment: 0.000 μB per atom
- Calculated total energy: -104.16 eV/cell
- Density of states at the Fermi level: 0.55 states/eV/atom

***

[2]
This record from the Alexandria database describes a relaxed structure of Sr2BeSnSe. The functional is GGA-PBE.

CIF file:
```
data_Sr2BeSnSe
_cell_length_a 6.1203
_cell_length_b 6.1203
_cell_length_c 4.0573
_cell_angle_alpha 90.00
_cell_angle_beta 90.00
_cell_angle_gamma 90.00
_space_group_name_H-M_alt 'P 4/m m m'
_space_group_IT_number 123
_space_group_name_Hall '-P 4 2'
loop_
_atom_site_label
_atom_site_fract_x
_atom_site_fract_y
_atom_site_fract_z
Sr1 0.0000 0.5000 0.0000
Be1 0.0000 0.0000 0.0000
Sn1 0.5000 0.5000 0.5000
Se1 0.0000 0.0000 0.5000
```

Computed properties:
- Energy relative to the elements, uncorrected: -0.23 eV per atom
- Total magnetic moment: 0.000 μB per atom
- Calculated total energy: -15.74 eV/cell
- Density of states at the Fermi level: 0.90 states/eV/atom

***

[3]
This record from the Alexandria database describes a relaxed structure of KNaInSn2. The functional is GGA-PBE.

CIF file:
```
data_KNaInSn2
_cell_length_a 5.5788
_cell_length_b 5.5788
_cell_length_c 5.6647
_cell_angle_alpha 90.00
_cell_angle_beta 90.00
_cell_angle_gamma 90.00
_space_group_name_H-M_alt 'P 4/m m m'
_space_group_IT_number 123
_space_group_name_Hall '-P 4 2'
loop_
_atom_site_label
_atom_site_fract_x
_atom_site_fract_y
_atom_site_fract_z
K1 0.0000 0.0000 0.0000
Na1 0.0000 0.0000 0.5000
In1 0.5000 0.5000 0.0000
Sn1 0.0000 0.5000 0.5000
```

Computed properties:
- Energy of formation from the pure elements: 0.365 eV per atom
- Total magnetic moment: 0.000 μB per atom
- Calculated total energy: -11.34 eV/cell
- Density of states at the Fermi level: 0.79 states/eV/atom

***

[4]
This record from the Alexandria database describes a relaxed structure of NdZn2CdAu5. The functional is GGA-PBE.

CIF file:
```
data_NdZn2CdAu5
_cell_length_a 4.8843
_cell_length_b 4.8843
_cell_length_c 7.8152
_cell_angle_alpha 90.00
_cell_angle_beta 90.00
_cell_angle_gamma 90.00
_space_group_name_H-M_alt 'P 4/m m m'
_space_group_IT_number 123
_space_group_name_Hall '-P 4 2'
loop_
_atom_site_label
_atom_site_fract_x
_atom_site_fract_y
_atom_site_fract_z
Nd1 0.0000 0.0000 0.0000
Zn1 0.5000 0.5000 0.3453
Cd1 0.0000 0.0000 0.5000
Au1 0.0000 0.5000 0.2481
Au2 0.5000 0.5000 0.0000
```

Computed properties:
- Energy of formation from the pure elements: -0.288 eV per atom
- Total magnetic moment: 0.000 μB per atom
- Calculated total energy: -27.21 eV/cell
- Density of states at the Fermi level: 0.26 states/eV/atom

***

Look up the total magnetic moment of the second one.
0.000 μB per atom

***

total magnetic moment of number 1 (Er2Si2Tc2B)?
0.000 μB per atom